Record 1
A geometry-optimized CuNi2Cl structure, computed with PBE-GGA.

abc: 4.1765 4.1765 4.1765
angles: 60.00 60.00 60.00
Site moments in Bohr magnetons follow the coordinates.
Fractional coordinates of all 4 atoms:
Ni (0.2500, 0.2500, 0.2500)  0.46
Ni (0.7500, 0.7500, 0.7500)  0.46
Cu (0.5000, 0.5000, 0.5000)  0.06
Cl (0.0000, 0.0000, 0.0000)  0.07

The total DFT energy (no corrections) comes out at -3.81 eV/atom. Its space group is Fm-3m. The crystal system is cubic. The formation energy without anion corrections is 0.5702 eV/atom. As for the offset from the most stable computed form: 411 meV per atom.

Record 2
A geometry-optimized CuNiCl2 structure, computed with PBE-GGA.

abc: 4.4509 4.4509 4.4509
angles: 60.00 60.00 60.00
Site moments in Bohr magnetons follow the coordinates.
Fractional coordinates of all 4 atoms:
Ni (0.0000, 0.0000, 0.0000)  0.88
Cu (0.5000, 0.5000, 0.5000)  0.04
Cl (0.2500, 0.2500, 0.2500)  0.06
Cl (0.7500, 0.7500, 0.7500)  0.06

The total DFT energy (no corrections) comes out at -3.15 eV/atom. Its space group is Fm-3m. The crystal system is cubic. The formation energy without anion corrections is 0.2422 eV/atom. As for the offset from the most stable computed form: 487 meV per atom.

Record 3
A geometry-optimized Cu2NiCl6 structure, computed with PBE-GGA.

abc: 6.4359 9.3926 9.3926
angles: 88.66 72.36 72.36
Site moments in Bohr magnetons follow the coordinates.
Fractional coordinates of all 18 atoms:
Cu (0.1021, 0.6513, 0.7971)  0.46
Cu (0.3979, 0.2029, 0.3487)  0.46
Cu (0.8979, 0.3487, 0.2029)  0.46
Cu (0.6021, 0.7971, 0.6513)  0.46
Ni (0.2500, 0.2182, 0.7818)  1.54
Ni (0.7500, 0.7818, 0.2182)  1.54
Cl (0.2779, 0.7789, 0.6221)  0.14
Cl (0.2221, 0.3779, 0.2211)  0.14
Cl (0.7221, 0.2211, 0.3779)  0.14
Cl (0.7779, 0.6221, 0.7789)  0.14
Cl (0.8547, 0.7926, 0.4185)  0.22
Cl (0.6453, 0.5815, 0.2074)  0.22
Cl (0.1453, 0.2074, 0.5815)  0.22
Cl (0.3547, 0.4185, 0.7926)  0.22
Cl (0.0395, 0.7783, 0.0197)  0.22
Cl (0.4605, 0.9803, 0.2217)  0.22
Cl (0.9605, 0.2217, 0.9803)  0.22
Cl (0.5395, 0.0197, 0.7783)  0.22

The total DFT energy (no corrections) comes out at -3.26 eV/atom. Its space group is C2/c. The crystal system is monoclinic. The formation energy without anion corrections is -0.4717 eV/atom. As for the offset from the most stable computed form: 0 meV per atom.

Record 4
A geometry-optimized Cu2NiCl structure, computed with PBE-GGA.

abc: 4.2425 4.2425 4.2425
angles: 60.00 60.00 60.00
Site moments in Bohr magnetons follow the coordinates.
Fractional coordinates of all 4 atoms:
Cl (0.5000, 0.5000, 0.5000)  0.02
Cu (0.0000, 0.0000, 0.0000)  0.02
Cu (0.2500, 0.2500, 0.2500)  0.00
Ni (0.7500, 0.7500, 0.7500)  0.24

The total DFT energy (no corrections) comes out at -3.46 eV/atom. Its space group is F-43m. The crystal system is cubic. The formation energy without anion corrections is 0.4929 eV/atom. As for the offset from the most stable computed form: 393 meV per atom.